This record from Alexandria describes CsSrAs after structural relaxation. The functional is PBE-GGA.

Cell: 5.1150 5.1150 6.4014 Å, 90.00 90.00 120.00°
Space group P3m1 (No. 156)
Symmetry-distinct sites (fractional):
Cs: 0.0000 0.0000 0.0000 [1 per cell]
Sr: 0.6667 0.3333 0.5277 [1 per cell]
As: 0.3333 0.6667 0.6347 [1 per cell]

Results
Formation enthalpy at 0 K = -0.595 eV per atom
Size of the total moment = 0.0 μB per cell



This record from Alexandria describes RbZnTc3 after structural relaxation. The functional is PBE-GGA.

Cell: 4.692 4.692 4.692 Å, 90.00 90.00 90.00°
Space group Pm-3m (No. 221)
Symmetry-distinct sites (fractional):
Rb: 0.000 0.000 0.000 [1 per cell]
Zn: 0.500 0.500 0.500 [1 per cell]
Tc: 0.000 0.000 0.500 [3 per cell]

Results
Relative energy among the computed polymorphs = 1.200 eV/atom
Formation enthalpy at 0 K = 3.207 eV per atom
Size of the total moment = 3.7 μB per cell



This record from Alexandria describes Pm5Tm2Sc2 after structural relaxation. The functional is PBE-GGA.

Cell: 18.427 3.565 9.465 Å, 90.00 115.76 90.00°
Space group C2/m (No. 12)
Symmetry-distinct sites (fractional):
Pm: 0.000 0.000 0.000 [2 per cell]
Pm: 0.165 0.500 0.989 [4 per cell]
Pm: 0.185 0.000 0.332 [4 per cell]
Tm: 0.140 0.000 0.653 [4 per cell]
Sc: 0.017 0.500 0.338 [4 per cell]

Results
Relative energy among the computed polymorphs = 0.000 eV/atom
Formation enthalpy at 0 K = 0.024 eV per atom
Size of the total moment = 0.0 μB per cell



This record from Alexandria describes Ca2TbNd5 after structural relaxation. The functional is PBE-GGA.

Cell: 5.217 5.217 21.257 Å, 90.00 90.00 90.00°
Space group I4/mmm (No. 139)
Symmetry-distinct sites (fractional):
Ca: 0.000 0.000 0.250 [4 per cell]
Tb: 0.000 0.000 0.000 [2 per cell]
Nd: 0.000 0.000 0.500 [2 per cell]
Nd: 0.000 0.500 0.118 [8 per cell]

Results
Formation enthalpy at 0 K = 0.043 eV per atom
Size of the total moment = 0.0 μB per cell



This record from Alexandria describes Pm3PrSm8 after structural relaxation. The functional is PBE-GGA.

Cell: 6.557 11.510 11.652 Å, 90.00 90.00 90.00°
Space group Immm (No. 71)
Symmetry-distinct sites (fractional):
Pm: 0.000 0.000 0.000 [2 per cell]
Pm: 0.000 0.500 0.252 [4 per cell]
Pr: 0.000 0.000 0.500 [2 per cell]
Sm: 0.000 0.168 0.250 [8 per cell]
Sm: 0.248 0.253 0.500 [8 per cell]

Results
Formation enthalpy at 0 K = 0.303 eV per atom
Size of the total moment = 0.0 μB per cell



This record from Alexandria describes HPbNO2 after structural relaxation. The functional is PBE-GGA.

Cell: 4.179 4.179 2.895 Å, 90.00 90.00 90.00°
Space group P4/mmm (No. 123)
Symmetry-distinct sites (fractional):
H: 0.000 0.000 0.000 [1 per cell]
Pb: 0.500 0.500 0.500 [1 per cell]
N: 0.000 0.000 0.500 [1 per cell]
O: 0.000 0.500 0.000 [2 per cell]

Results
Size of the total moment = 1.2 μB per cell



This record from Alexandria describes Ho7Er2Tm after structural relaxation. The functional is PBE-GGA.

Cell: 6.074 6.082 9.275 Å, 102.61 109.04 99.54°
Space group P-1 (No. 2)
Symmetry-distinct sites (fractional):
Ho: 0.000 0.000 0.000 [1 per cell]
Ho: 0.200 0.000 0.400 [2 per cell]
Ho: 0.200 0.500 0.900 [2 per cell]
Ho: 0.400 0.500 0.300 [2 per cell]
Er: 0.400 0.000 0.800 [2 per cell]
Tm: 0.000 0.500 0.500 [1 per cell]

Results
Relative energy among the computed polymorphs = 0.000 eV/atom
Formation enthalpy at 0 K = 0.023 eV per atom
Size of the total moment = 0.0 μB per cell



This record from Alexandria describes ZnCrRu2 after structural relaxation. The functional is PBE-GGA.

Cell: 4.267 4.267 2.957 Å, 90.00 90.00 90.00°
Space group P4/mmm (No. 123)
Symmetry-distinct sites (fractional):
Zn: 0.000 0.000 0.000 [1 per cell]
Cr: 0.500 0.500 0.000 [1 per cell]
Ru: 0.000 0.500 0.500 [2 per cell]

Results
Formation enthalpy at 0 K = 0.124 eV per atom
Size of the total moment = 0.8 μB per cell



This record from Alexandria describes ZrCrAsSe2 after structural relaxation. The functional is PBE-GGA.

Cell: 4.770 4.770 4.730 Å, 90.00 90.00 90.00°
Space group P4/mmm (No. 123)
Symmetry-distinct sites (fractional):
Zr: 0.000 0.000 0.000 [1 per cell]
Cr: 0.500 0.500 0.500 [1 per cell]
As: 0.500 0.500 0.000 [1 per cell]
Se: 0.000 0.500 0.500 [2 per cell]

Results
Relative energy among the computed polymorphs = 0.000 eV/atom
Formation energy from raw total energies = 55 meV/atom
Size of the total moment = 3.2 μB per cell



This record from Alexandria describes LiSc2HgO after structural relaxation. The functional is PBE-GGA.

Cell: 4.383 4.383 4.234 Å, 90.00 90.00 90.00°
Space group P4/mmm (No. 123)
Symmetry-distinct sites (fractional):
Li: 0.000 0.000 0.000 [1 per cell]
Sc: 0.000 0.500 0.500 [2 per cell]
Hg: 0.500 0.500 0.000 [1 per cell]
O: 0.000 0.000 0.500 [1 per cell]

Results
Relative energy among the computed polymorphs = 0.000 eV/atom
Formation energy from raw total energies = -1395 meV/atom
Size of the total moment = 0.0 μB per cell



This record from Alexandria describes Ce2NdGe2 after structural relaxation. The functional is PBE-GGA.

Cell: 5.435 5.442 8.960 Å, 90.00 103.30 90.00°
Space group P2_1/m (No. 11)
Symmetry-distinct sites (fractional):
Ce: 0.139 0.250 0.049 [2 per cell]
Ce: 0.188 0.750 0.359 [2 per cell]
Nd: 0.318 0.750 0.732 [2 per cell]
Ge: 0.247 0.250 0.471 [2 per cell]
Ge: 0.423 0.750 0.096 [2 per cell]

Results
Relative energy among the computed polymorphs = 0.129 eV/atom
Formation enthalpy at 0 K = -0.522 eV per atom
Size of the total moment = 2.7 μB per cell



This record from Alexandria describes Y4HoAl after structural relaxation. The functional is PBE-GGA.

Cell: 3.547 3.547 14.033 Å, 90.00 90.00 90.00°
Space group P4/mmm (No. 123)
Symmetry-distinct sites (fractional):
Y: 0.000 0.000 0.135 [2 per cell]
Y: 0.500 0.500 0.322 [2 per cell]
Ho: 0.000 0.000 0.500 [1 per cell]
Al: 0.500 0.500 0.000 [1 per cell]

Results
Relative energy among the computed polymorphs = 0.000 eV/atom
Formation enthalpy at 0 K = -0.129 eV per atom
Size of the total moment = 0.0 μB per cell



Number 1: DFT total energy -2.99 eV per atom, N(E_F) 1.92 states/eV/cell. Number 2: DFT total energy -3.46 eV per atom, N(E_F) 5.59 states/eV/cell. Number 3: DFT total energy -5.02 eV per atom, N(E_F) 25.95 states/eV/cell. Number 4: DFT total energy -4.02 eV per atom, N(E_F) 24.74 states/eV/cell. Number 5: DFT total energy -4.43 eV per atom, N(E_F) 31.06 states/eV/cell. Number 6: DFT total energy -4.14 eV per atom, N(E_F) 4.71 states/eV/cell. Number 7: DFT total energy -4.54 eV per atom, N(E_F) 14.37 states/eV/cell. Number 8: DFT total energy -7.24 eV per atom, N(E_F) 5.57 states/eV/cell. Number 9: DFT total energy -5.90 eV per atom, N(E_F) 3.53 states/eV/cell. Number 10: DFT total energy -5.36 eV per atom, N(E_F) 4.48 states/eV/cell. Number 11: DFT total energy -5.70 eV per atom, N(E_F) 17.82 states/eV/cell. Number 12: DFT total energy -5.83 eV per atom, N(E_F) 6.64 states/eV/cell.